# WIO3, optimized geometry, DFT PBE+U
# Total magnetic moment: 1.2 μB/f.u.
# VASP energy: -27.1 eV per cell
# SG: Pm-3m
data_WIO3
_chemical_formula_sum 'W1 I1 O3'
_cell_length_a 4.054
_cell_length_b 4.054
_cell_length_c 4.054
_cell_angle_alpha 90.00
_cell_angle_beta 90.00
_cell_angle_gamma 90.00
_space_group_name_H-M_alt 'P 1'
_space_group_IT_number 1
loop_
_space_group_symop_operation_xyz
'x,y,z'
loop_
_atom_site_label
_atom_site_fract_x
_atom_site_fract_y
_atom_site_fract_z
W1 0.000 0.000 0.000
I1 0.500 0.500 0.500
O1 0.000 0.000 0.500
O2 0.000 0.500 0.000
O3 0.500 0.000 0.000